DFT (GGA+U) results for an optimized crystal structure of K2CoPd3F12.

Results
The calculation puts the density of states at the Fermi level at 0.90 states/eV/cell. The calculation puts the uncorrected energy at -76.13 eV/f.u. The space group is R-3m. Its spin magnetization is 5.0 μB per formula unit.

```
K2CoPd3F12
1.0
3.721 2.148 6.210
-3.721 2.148 6.210
0.000 -4.296 6.210
K Co Pd F
2 1 3 12
Direct
0.159 0.159 0.159
0.841 0.841 0.841
0.500 0.500 0.500
0.000 0.500 0.500
0.500 0.000 0.500
0.500 0.500 0.000
0.160 0.160 0.560
0.160 0.560 0.160
0.201 0.569 0.569
0.431 0.431 0.799
0.431 0.799 0.431
0.440 0.840 0.840
0.560 0.160 0.160
0.569 0.201 0.569
0.569 0.569 0.201
0.799 0.431 0.431
0.840 0.440 0.840
0.840 0.840 0.440
```